A relaxed structure of CaBe2Al. Source: the Alexandria database, functional PBE.

Lattice parameters (Å, degrees): 5.4789 5.4789 5.4789 149.88 126.95 62.22
Positions (direct):
Ca  0.0000  0.0000  0.0000
Be  0.5179  0.5179  0.0000
Be  0.7042  0.2042  0.5000
Al  0.2979  0.7979  0.5000

Properties
Crystal system   orthorhombic
Formation enthalpy at 0 K   432 meV per atom
Fermi-level density of states   1.586 states/eV per cell
Symmetry   No. 44
Spin magnetization   0.00 μB/atom